1.
# K2InHgW (PBE, optimized geometry)
# Offset from the most stable computed form, meV/atom: 0
# E_form, eV/atom: 1.2677
data_K2InHgW
_chemical_formula_sum 'K2 In1 Hg1 W1'
_cell_length_a 6.659
_cell_length_b 6.659
_cell_length_c 5.475
_cell_angle_alpha 90.00
_cell_angle_beta 90.00
_cell_angle_gamma 90.00
_space_group_name_H-M_alt 'P 4/m m m'
_space_group_IT_number 123
_space_group_name_Hall '-P 4 2'
loop_
_atom_site_label
_atom_site_type_symbol
_atom_site_fract_x
_atom_site_fract_y
_atom_site_fract_z
K1 K 0.000 0.500 0.000
In1 In 0.000 0.000 0.500
Hg1 Hg 0.500 0.500 0.500
W1 W 0.500 0.500 0.000

2.
# FeReTe2 (PBE, optimized geometry)
# Offset from the most stable computed form, meV/atom: 480
data_FeReTe2
_chemical_formula_sum 'Fe4 Re4 Te8'
_cell_length_a 6.610
_cell_length_b 6.610
_cell_length_c 6.610
_cell_angle_alpha 90.00
_cell_angle_beta 90.00
_cell_angle_gamma 90.00
_space_group_name_H-M_alt 'F m -3 m'
_space_group_IT_number 225
_space_group_name_Hall '-F 4 2 3'
loop_
_atom_site_label
_atom_site_type_symbol
_atom_site_fract_x
_atom_site_fract_y
_atom_site_fract_z
Fe1 Fe 0.000 0.000 0.000
Re1 Re 0.000 0.000 0.500
Te1 Te 0.250 0.250 0.250

3.
# Ba6PRh2 (PBE, optimized geometry)
# E_form, eV/atom: -0.3782
data_Ba6PRh2
_chemical_formula_sum 'Ba12 P2 Rh4'
_cell_length_a 19.802
_cell_length_b 4.636
_cell_length_c 9.136
_cell_angle_alpha 90.00
_cell_angle_beta 101.29
_cell_angle_gamma 90.00
_space_group_name_H-M_alt 'C 1 2/m 1'
_space_group_IT_number 12
loop_
_space_group_symop_operation_xyz
'x,y,z'
'-x,-y,-z'
'-x,y,-z'
'x,-y,z'
'x+1/2,y+1/2,z'
'-x+1/2,-y+1/2,-z'
'-x+1/2,y+1/2,-z'
'x+1/2,-y+1/2,z'
loop_
_atom_site_label
_atom_site_type_symbol
_atom_site_fract_x
_atom_site_fract_y
_atom_site_fract_z
Ba1 Ba 0.009 0.000 0.239
Ba2 Ba 0.162 0.500 0.109
Ba3 Ba 0.175 0.500 0.573
P1 P 0.000 0.500 0.000
Rh1 Rh 0.163 0.000 0.338

4.
# Cs6Rb4Na (PBE, optimized geometry)
# E_form, eV/atom: 0.0143
data_Cs6Rb4Na
_chemical_formula_sum 'Cs6 Rb4 Na1'
_cell_length_a 8.111
_cell_length_b 12.604
_cell_length_c 12.674
_cell_angle_alpha 117.57
_cell_angle_beta 108.49
_cell_angle_gamma 90.14
_space_group_name_H-M_alt 'P 1'
_space_group_IT_number 1
loop_
_space_group_symop_operation_xyz
'x,y,z'
loop_
_atom_site_label
_atom_site_type_symbol
_atom_site_fract_x
_atom_site_fract_y
_atom_site_fract_z
Cs1 Cs 0.000 0.000 0.000
Cs2 Cs 0.096 0.511 0.180
Cs3 Cs 0.255 0.357 0.516
Cs4 Cs 0.450 0.275 0.886
Cs5 Cs 0.547 0.759 0.091
Cs6 Cs 0.797 0.073 0.583
Rb1 Rb 0.346 0.826 0.684
Rb2 Rb 0.623 0.206 0.255
Rb3 Rb 0.731 0.640 0.450
Rb4 Rb 0.892 0.544 0.789
Na1 Na 0.186 0.934 0.360

5.
# YAsOs (PBE, optimized geometry)
# E_form, eV/atom: -0.0901
data_YAsOs
_chemical_formula_sum 'Y4 As4 Os4'
_cell_length_a 6.351
_cell_length_b 6.351
_cell_length_c 6.351
_cell_angle_alpha 90.00
_cell_angle_beta 90.00
_cell_angle_gamma 90.00
_space_group_name_H-M_alt 'F -4 3 m'
_space_group_IT_number 216
_space_group_name_Hall 'F -4 2 3'
loop_
_atom_site_label
_atom_site_type_symbol
_atom_site_fract_x
_atom_site_fract_y
_atom_site_fract_z
Y1 Y 0.000 0.000 0.000
As1 As 0.000 0.000 0.500
Os1 Os 0.250 0.250 0.250

6.
# PmMgNiRh (PBE, optimized geometry)
# E_form, eV/atom: -0.3751
data_PmMgNiRh
_chemical_formula_sum 'Pm4 Mg4 Ni4 Rh4'
_cell_length_a 6.652
_cell_length_b 6.652
_cell_length_c 6.652
_cell_angle_alpha 90.00
_cell_angle_beta 90.00
_cell_angle_gamma 90.00
_space_group_name_H-M_alt 'F -4 3 m'
_space_group_IT_number 216
_space_group_name_Hall 'F -4 2 3'
loop_
_atom_site_label
_atom_site_type_symbol
_atom_site_fract_x
_atom_site_fract_y
_atom_site_fract_z
Pm1 Pm 0.000 0.000 0.000
Mg1 Mg 0.000 0.000 0.500
Ni1 Ni 0.250 0.250 0.250
Rh1 Rh 0.250 0.250 0.750

7.
# Nb2V2GeRu5 (PBE, optimized geometry)
# E_form, eV/atom: -0.0952
data_Nb2V2GeRu5
_chemical_formula_sum 'Nb4 V4 Ge2 Ru10'
_cell_length_a 10.067
_cell_length_b 10.067
_cell_length_c 2.994
_cell_angle_alpha 90.00
_cell_angle_beta 90.00
_cell_angle_gamma 90.00
_space_group_name_H-M_alt 'P 4/m b m'
_space_group_IT_number 127
_space_group_name_Hall '-P 4 2ab'
loop_
_atom_site_label
_atom_site_type_symbol
_atom_site_fract_x
_atom_site_fract_y
_atom_site_fract_z
Nb1 Nb 0.178 0.322 0.000
V1 V 0.137 0.637 0.000
Ge1 Ge 0.000 0.000 0.000
Ru1 Ru 0.000 0.500 0.500
Ru2 Ru 0.041 0.799 0.500

8.
# VOs8 (PBE, optimized geometry)
# E_form, eV/atom: 0.0632
data_VOs8
_chemical_formula_sum 'V4 Os32'
_cell_length_a 3.837
_cell_length_b 11.569
_cell_length_c 11.588
_cell_angle_alpha 90.00
_cell_angle_beta 90.00
_cell_angle_gamma 90.00
_space_group_name_H-M_alt 'F m m m'
_space_group_IT_number 69
_space_group_name_Hall '-F 2 2'
loop_
_atom_site_label
_atom_site_type_symbol
_atom_site_fract_x
_atom_site_fract_y
_atom_site_fract_z
V1 V 0.000 0.000 0.000
Os1 Os 0.000 0.000 0.332
Os2 Os 0.000 0.166 0.166
Os3 Os 0.000 0.168 0.500

9.
# AlMoAs2 (PBE, optimized geometry)
# E_form, eV/atom: 0.2805
data_AlMoAs2
_chemical_formula_sum 'Al1 Mo1 As2'
_cell_length_a 3.327
_cell_length_b 4.236
_cell_length_c 4.711
_cell_angle_alpha 90.00
_cell_angle_beta 90.00
_cell_angle_gamma 90.00
_space_group_name_H-M_alt 'P m m m'
_space_group_IT_number 47
loop_
_space_group_symop_operation_xyz
'x,y,z'
'-x,-y,-z'
'-x,-y,z'
'x,y,-z'
'x,-y,-z'
'-x,y,z'
'-x,y,-z'
'x,-y,z'
loop_
_atom_site_label
_atom_site_type_symbol
_atom_site_fract_x
_atom_site_fract_y
_atom_site_fract_z
Al1 Al 0.000 0.000 0.000
Mo1 Mo 0.500 0.000 0.500
As1 As 0.000 0.500 0.500
As2 As 0.500 0.500 0.000

10.
# KNa6Pb4 (PBE, optimized geometry)
# E_form, eV/atom: -0.0921
data_KNa6Pb4
_chemical_formula_sum 'K2 Na12 Pb8'
_cell_length_a 8.147
_cell_length_b 8.147
_cell_length_c 12.831
_cell_angle_alpha 90.00
_cell_angle_beta 90.00
_cell_angle_gamma 90.00
_space_group_name_H-M_alt 'I -4 2 m'
_space_group_IT_number 121
_space_group_name_Hall 'I -4 2'
loop_
_atom_site_label
_atom_site_type_symbol
_atom_site_fract_x
_atom_site_fract_y
_atom_site_fract_z
K1 K 0.000 0.000 0.000
Na1 Na 0.000 0.500 0.000
Na2 Na 0.207 0.207 0.296
Pb1 Pb 0.145 0.145 0.583

11.
Here is a relaxed ZrPa2S8 crystal from the Alexandria database. Energies are from PBE.

Structure (CIF):
```
data_ZrPa2S8
_chemical_formula_sum 'Zr1 Pa2 S8'
_cell_length_a 8.1330
_cell_length_b 8.1330
_cell_length_c 5.2172
_cell_angle_alpha 90.00
_cell_angle_beta 90.00
_cell_angle_gamma 120.00
_space_group_name_H-M_alt 'P -3 m 1'
_space_group_IT_number 164
_space_group_name_Hall '-P 3 2"'
loop_
_atom_site_label
_atom_site_type_symbol
_atom_site_fract_x
_atom_site_fract_y
_atom_site_fract_z
Zr1 Zr 0.0000 0.0000 0.0000
Pa1 Pa 0.3333 0.6667 0.2567
S1 S 0.1508 0.3015 0.2708
S2 S 0.3333 0.6667 0.7569
```

12.
# Pm12AlIn3 (PBE, optimized geometry)
# E_form, eV/atom: -0.2500
data_Pm12AlIn3
_chemical_formula_sum 'Pm12 Al1 In3'
_cell_length_a 4.931
_cell_length_b 4.931
_cell_length_c 19.762
_cell_angle_alpha 90.00
_cell_angle_beta 90.00
_cell_angle_gamma 90.00
_space_group_name_H-M_alt 'P 4/m m m'
_space_group_IT_number 123
_space_group_name_Hall '-P 4 2'
loop_
_atom_site_label
_atom_site_type_symbol
_atom_site_fract_x
_atom_site_fract_y
_atom_site_fract_z
Pm1 Pm 0.000 0.000 0.000
Pm2 Pm 0.000 0.000 0.247
Pm3 Pm 0.000 0.000 0.500
Pm4 Pm 0.000 0.500 0.121
Pm5 Pm 0.000 0.500 0.374
Al1 Al 0.500 0.500 0.000
In1 In 0.500 0.500 0.248
In2 In 0.500 0.500 0.500

Taking the records one at a time from the top gives total energy values of -11.85 -98.71 -70.11 -10.15 -90.45 -83.91 -180.65 -393.55 -22.75 -49.72 -70.63 -72.96 eV per cell.